(1)
Here is NaSrReOs after structural relaxation from the Open Quantum Materials Database. Energies are from GGA-PBE.

## Properties
M_tot ... 0.01 μB/atom
Energy above the most stable polymorph in this dataset ... 18 meV/atom
Space-group type ... F-43m

a = 4.7594 Å, b = 4.7594 Å, c = 4.7594 Å
α = 60.00°, β = 60.00°, γ = 60.00°
Element x y z (fractional)
Na 0.0000 0.0000 0.0000
Sr 0.7500 0.7500 0.7500
Re 0.2500 0.2500 0.2500
Os 0.5000 0.5000 0.5000


(2)
Here is Rb2CdGeCl6 after structural relaxation from the Open Quantum Materials Database. Energies are from GGA-PBE.

## Properties
Uncorrected energy ... -32.16 eV per cell
Space-group type ... Fm-3m

a = 7.4394 Å, b = 7.4394 Å, c = 7.4394 Å
α = 60.00°, β = 60.00°, γ = 60.00°
Element x y z (fractional)
Rb 0.2500 0.2500 0.2500
Rb 0.7500 0.7500 0.7500
Cd 0.0000 0.0000 0.0000
Ge 0.5000 0.5000 0.5000
Cl 0.2506 0.2506 0.7494
Cl 0.2506 0.7494 0.2506
Cl 0.2506 0.7494 0.7494
Cl 0.7494 0.2506 0.2506
Cl 0.7494 0.2506 0.7494
Cl 0.7494 0.7494 0.2506


(3)
Here is Gd2YIn3Ag2Pt after structural relaxation from the Open Quantum Materials Database. Energies are from GGA-PBE.

## Properties
M_tot ... 0.00 μB/atom
Uncorrected energy ... -41.13 eV per cell
Space-group type ... Amm2

a = 4.0053 Å, b = 7.7574 Å, c = 7.7574 Å
α = 119.96°, β = 90.00°, γ = 90.00°
Element x y z (fractional)
Gd 0.0000 0.1988 0.8012
Gd 0.0000 0.8012 0.1988
Y 0.0000 0.5956 0.5956
In 0.5000 0.1997 0.4560
In 0.5000 0.4560 0.1997
In 0.5000 0.9423 0.9423
Ag 0.5000 0.5329 0.8653
Ag 0.5000 0.8653 0.5329
Pt 0.0000 0.1992 0.1992


(4)
Here is SmGd2Al3Cu3 after structural relaxation from the Open Quantum Materials Database. Energies are from GGA-PBE.

## Properties
M_tot ... 0.00 μB/atom
Uncorrected energy ... -40.27 eV per cell
Space-group type ... Amm2

a = 4.0360 Å, b = 7.1144 Å, c = 7.1144 Å
α = 119.72°, β = 90.00°, γ = 90.00°
Element x y z (fractional)
Sm 0.0000 0.0000 0.0000
Gd 0.0000 0.4155 0.8303
Gd 0.0000 0.8303 0.4155
Al 0.5000 0.1834 0.4176
Al 0.5000 0.4176 0.1834
Al 0.5000 0.6480 0.6480
Cu 0.0000 0.4175 0.4175
Cu 0.5000 0.0837 0.7470
Cu 0.5000 0.7470 0.0837


(5)
Here is DyAlSnTe3 after structural relaxation from the Open Quantum Materials Database. Energies are from GGA-PBE.

## Properties
M_tot ... 0.00 μB/atom
Uncorrected energy ... -49.92 eV per cell
Space-group type ... Cmcm

a = 7.6346 Å, b = 7.6346 Å, c = 11.0719 Å
α = 90.00°, β = 90.00°, γ = 146.56°
Element x y z (fractional)
Dy 0.0000 0.0000 0.0000
Dy 0.0000 0.0000 0.5000
Al 0.4733 0.5267 0.7500
Al 0.5267 0.4733 0.2500
Sn 0.2001 0.7999 0.2500
Sn 0.7999 0.2001 0.7500
Te 0.0964 0.9036 0.7500
Te 0.3546 0.6454 0.5518
Te 0.3546 0.6454 0.9482
Te 0.6454 0.3546 0.0518
Te 0.6454 0.3546 0.4482
Te 0.9036 0.0964 0.2500


(6)
Here is SrPmTm after structural relaxation from the Open Quantum Materials Database. Energies are from GGA-PBE.

## Properties
M_tot ... 0.00 μB/atom
Energy above the most stable polymorph in this dataset ... 0 meV/atom
Space-group type ... F-43m

a = 5.7488 Å, b = 5.7488 Å, c = 5.7488 Å
α = 60.00°, β = 60.00°, γ = 60.00°
Element x y z (fractional)
Sr 0.0000 0.0000 0.0000
Pm 0.5000 0.5000 0.5000
Tm 0.7500 0.7500 0.7500


(7)
Here is Ta4InBiC2 after structural relaxation from the Open Quantum Materials Database. Energies are from GGA-PBE.

## Properties
M_tot ... 0.00 μB/atom
Uncorrected energy ... -74.34 eV per cell
Space-group type ... P-6m2

a = 3.2771 Å, b = 3.2771 Å, c = 14.0314 Å
α = 90.00°, β = 90.00°, γ = 120.00°
Element x y z (fractional)
Ta 0.0000 0.0000 0.1686
Ta 0.0000 0.0000 0.8314
Ta 0.3333 0.6667 0.3303
Ta 0.3333 0.6667 0.6697
In 0.3333 0.6667 0.0000
Bi 0.0000 0.0000 0.5000
C 0.6667 0.3333 0.2501
C 0.6667 0.3333 0.7499


(8)
Here is Ho2GePb after structural relaxation from the Open Quantum Materials Database. Energies are from GGA-PBE.

## Properties
M_tot ... 0.00 μB/atom
Uncorrected energy ... -19.88 eV per cell
Space-group type ... Amm2

a = 4.1685 Å, b = 6.0232 Å, c = 6.0232 Å
α = 42.89°, β = 90.00°, γ = 90.00°
Element x y z (fractional)
Ho 0.0000 0.0000 0.0000
Ho 0.5000 0.2733 0.2733
Ge 0.0000 0.7399 0.7399
Pb 0.5000 0.5508 0.5508


(9)
Here is PrThSb after structural relaxation from the Open Quantum Materials Database. Energies are from GGA-PBE.

## Properties
M_tot ... 0.06 μB/atom
Uncorrected energy ... -17.46 eV per cell
Space-group type ... F-43m

a = 5.2723 Å, b = 5.2723 Å, c = 5.2723 Å
α = 60.00°, β = 60.00°, γ = 60.00°
Element x y z (fractional)
Pr 0.0000 0.0000 0.0000
Th 0.5000 0.5000 0.5000
Sb 0.2500 0.2500 0.2500


(10)
Here is Dy2Ho2CI2Cl3 after structural relaxation from the Open Quantum Materials Database. Energies are from GGA-PBE.

## Properties
M_tot ... 0.01 μB/atom
Energy above the most stable polymorph in this dataset ... 0 meV/atom
Space-group type ... C2/m

a = 9.2864 Å, b = 9.2864 Å, c = 7.8604 Å
α = 99.91°, β = 99.91°, γ = 23.63°
Element x y z (fractional)
Dy 0.1340 0.1340 0.0699
Dy 0.8660 0.8660 0.9301
Ho 0.4974 0.4974 0.2070
Ho 0.5026 0.5026 0.7930
C 0.0000 0.0000 0.0000
I 0.3250 0.3250 0.2049
I 0.6750 0.6750 0.7951
Cl 0.0000 0.0000 0.5000
Cl 0.3523 0.3523 0.6784
Cl 0.6477 0.6477 0.3216


(11)
Here is Ac2Fe after structural relaxation from the Open Quantum Materials Database. Energies are from GGA-PBE.

## Properties
M_tot ... 0.13 μB/atom
DFT formation energy ... 922 meV per atom
Energy above the most stable polymorph in this dataset ... 673 meV/atom
Space-group type ... Fd-3m

a = 8.3512 Å, b = 8.3512 Å, c = 8.3512 Å
α = 60.00°, β = 60.00°, γ = 60.00°
Element x y z (fractional)
Ac 0.0000 0.0000 0.0000
Ac 0.0000 0.0000 0.5000
Ac 0.0000 0.5000 0.0000
Ac 0.5000 0.0000 0.0000
Fe 0.1250 0.1250 0.1250
Fe 0.8750 0.8750 0.8750


(12)
Here is LuZnCuNi after structural relaxation from the Open Quantum Materials Database. Energies are from GGA-PBE.

## Properties
M_tot ... 0.00 μB/atom
DFT formation energy ... -289 meV per atom
Energy above the most stable polymorph in this dataset ... 0 meV/atom
Space-group type ... F-43m

a = 4.4400 Å, b = 4.4400 Å, c = 4.4400 Å
α = 60.00°, β = 60.00°, γ = 60.00°
Element x y z (fractional)
Lu 0.0000 0.0000 0.0000
Zn 0.5000 0.5000 0.5000
Cu 0.7500 0.7500 0.7500
Ni 0.2500 0.2500 0.2500


(13)
Here is K5CuCl3 after structural relaxation from the Open Quantum Materials Database. Energies are from GGA-PBE.

## Properties
Uncorrected energy ... -23.17 eV per cell
Space-group type ... P2

a = 7.2482 Å, b = 7.2796 Å, c = 7.2830 Å
α = 90.00°, β = 90.50°, γ = 90.00°
Element x y z (fractional)
K 0.0000 0.0000 0.0000
K 0.2647 0.2753 0.2666
K 0.2700 0.7409 0.7318
K 0.7300 0.7409 0.2682
K 0.7353 0.2753 0.7335
Cu 0.5000 0.5066 0.5000
Cl 0.0000 0.0082 0.5000
Cl 0.0000 0.5131 0.0000
Cl 0.5000 0.0112 0.0000


(14)
Here is Y4CdSnC2 after structural relaxation from the Open Quantum Materials Database. Energies are from GGA-PBE.

## Properties
M_tot ... 0.14 μB/atom
Uncorrected energy ... -52.61 eV per cell
Space-group type ... P-6m2

a = 3.6216 Å, b = 3.6216 Å, c = 16.0219 Å
α = 90.00°, β = 90.00°, γ = 120.00°
Element x y z (fractional)
Y 0.0000 0.0000 0.1622
Y 0.0000 0.0000 0.8378
Y 0.3333 0.6667 0.3303
Y 0.3333 0.6667 0.6697
Cd 0.0000 0.0000 0.5000
Sn 0.3333 0.6667 0.0000
C 0.6667 0.3333 0.2475
C 0.6667 0.3333 0.7525


(15)
Here is LiLaTh after structural relaxation from the Open Quantum Materials Database. Energies are from GGA-PBE.

## Properties
M_tot ... 0.00 μB/atom
Uncorrected energy ... -11.81 eV per cell
Space-group type ... F-43m

a = 5.0985 Å, b = 5.0985 Å, c = 5.0985 Å
α = 60.00°, β = 60.00°, γ = 60.00°
Element x y z (fractional)
Li 0.0000 0.0000 0.0000
La 0.2500 0.2500 0.2500
Th 0.5000 0.5000 0.5000


(16)
Here is Ho3Er2ScBi2Os after structural relaxation from the Open Quantum Materials Database. Energies are from GGA-PBE.

## Properties
M_tot ... 0.01 μB/atom
Uncorrected energy ... -53.66 eV per cell
Space-group type ... Amm2

a = 4.2178 Å, b = 8.1473 Å, c = 8.1473 Å
α = 119.77°, β = 90.00°, γ = 90.00°
Element x y z (fractional)
Ho 0.0000 0.0000 0.0000
Ho 0.0000 0.3961 0.7779
Ho 0.0000 0.7779 0.3961
Er 0.5000 0.1635 0.3935
Er 0.5000 0.3935 0.1635
Sc 0.5000 0.6233 0.6233
Bi 0.5000 0.0548 0.7261
Bi 0.5000 0.7261 0.0548
Os 0.0000 0.4109 0.4109


(17)
Here is TaAlNiW after structural relaxation from the Open Quantum Materials Database. Energies are from GGA-PBE.

## Properties
M_tot ... 0.00 μB/atom
Uncorrected energy ... -33.44 eV per cell
Space-group type ... F-43m

a = 4.4187 Å, b = 4.4187 Å, c = 4.4187 Å
α = 60.00°, β = 60.00°, γ = 60.00°
Element x y z (fractional)
Ta 0.0000 0.0000 0.0000
Al 0.2500 0.2500 0.2500
Ni 0.5000 0.5000 0.5000
W 0.7500 0.7500 0.7500


(18)
Here is NiSe3 after structural relaxation from the Open Quantum Materials Database. Energies are from GGA-PBE.

## Properties
M_tot ... 0.26 μB/atom
Uncorrected energy ... -14.64 eV per cell
Space-group type ... I4/mmm

a = 7.7976 Å, b = 7.7976 Å, c = 7.7976 Å
α = 153.61°, β = 153.61°, γ = 37.67°
Element x y z (fractional)
Ni 0.0000 0.0000 0.0000
Se 0.2500 0.7500 0.5000
Se 0.5000 0.5000 0.0000
Se 0.7500 0.2500 0.5000


(19)
Here is DyLuTlC after structural relaxation from the Open Quantum Materials Database. Energies are from GGA-PBE.

## Properties
M_tot ... 0.02 μB/atom
Uncorrected energy ... -44.63 eV per cell
Space-group type ... P6_3mc

a = 3.5732 Å, b = 3.5732 Å, c = 16.1053 Å
α = 90.00°, β = 90.00°, γ = 120.00°
Element x y z (fractional)
Dy 0.3333 0.6667 0.0000
Dy 0.6667 0.3333 0.5000
Lu 0.3333 0.6667 0.3352
Lu 0.6667 0.3333 0.8352
Tl 0.3333 0.6667 0.6700
Tl 0.6667 0.3333 0.1700
C 0.0000 0.0000 0.4161
C 0.0000 0.0000 0.9161


(20)
Here is K2FeNiCl6 after structural relaxation from the Open Quantum Materials Database. Energies are from GGA-PBE.

## Properties
M_tot ... 0.24 μB/atom
Uncorrected energy ... -38.65 eV per cell
Space-group type ... Fm-3m

a = 6.8141 Å, b = 6.8141 Å, c = 6.8141 Å
α = 60.00°, β = 60.00°, γ = 60.00°
Element x y z (fractional)
K 0.2500 0.2500 0.2500
K 0.7500 0.7500 0.7500
Fe 0.0000 0.0000 0.0000
Ni 0.5000 0.5000 0.5000
Cl 0.2509 0.2509 0.7491
Cl 0.2509 0.7491 0.2509
Cl 0.2509 0.7491 0.7491
Cl 0.7491 0.2509 0.2509
Cl 0.7491 0.2509 0.7491
Cl 0.7491 0.7491 0.2509